Record 1
Density functional theory data (meta-GGA SCAN) for a PBEsol-optimized structure of Cd4As.

Results
calculated formation energy	0.253	eV per atom
crystal system	cubic
DOS(E_F)	0.491	states/eV/atom

```
data_Cd4As
_space_group_name_H-M_alt 'I m -3 m'
_space_group_IT_number 229
_space_group_name_Hall '-I 4 2 3'
_cell_length_a 6.322
_cell_length_b 6.322
_cell_length_c 6.322
_cell_angle_alpha 90.00
_cell_angle_beta 90.00
_cell_angle_gamma 90.00
loop_
_atom_site_label
_atom_site_fract_x
_atom_site_fract_y
_atom_site_fract_z
_atom_site_occupancy
Cd1 0.250 0.250 0.250 1
As1 0.000 0.000 0.000 1
```

=====

Record 2
Density functional theory data (meta-GGA SCAN) for a PBEsol-optimized structure of CuSi4Se.

Results
energy relative to the elements, uncorrected	0.790	eV/atom
crystal system	cubic
DOS(E_F)	0.428	states/eV/atom

```
data_CuSi4Se
_space_group_name_H-M_alt 'F -4 3 m'
_space_group_IT_number 216
_space_group_name_Hall 'F -4 2 3'
_cell_length_a 7.186
_cell_length_b 7.186
_cell_length_c 7.186
_cell_angle_alpha 90.00
_cell_angle_beta 90.00
_cell_angle_gamma 90.00
loop_
_atom_site_label
_atom_site_fract_x
_atom_site_fract_y
_atom_site_fract_z
_atom_site_occupancy
Cu1 0.000 0.000 0.000 1
Si1 0.126 0.126 0.626 1
Se1 0.250 0.250 0.250 1
```

=====

Record 3
Density functional theory data (meta-GGA SCAN) for a PBEsol-optimized structure of Sc2PPb.

Results
calculated formation energy	-1.152	eV per atom
offset from the most stable computed form	0	meV/atom
crystal system	trigonal
DOS(E_F)	0.335	states/eV/atom

```
data_Sc2PPb
_space_group_name_H-M_alt 'R -3 m'
_space_group_IT_number 166
_space_group_name_Hall '-R 3 2"'
_cell_length_a 3.6416
_cell_length_b 3.6416
_cell_length_c 22.3999
_cell_angle_alpha 90.00
_cell_angle_beta 90.00
_cell_angle_gamma 120.00
loop_
_atom_site_label
_atom_site_fract_x
_atom_site_fract_y
_atom_site_fract_z
_atom_site_occupancy
Sc1 0.0000 0.0000 0.2309 1
P1 0.0000 0.0000 0.5000 1
Pb1 0.0000 0.0000 0.0000 1
```

=====

Record 4
Density functional theory data (meta-GGA SCAN) for a PBEsol-optimized structure of CrTcCl2.

Results
energy relative to the elements, uncorrected	-0.072	eV/atom
offset from the most stable computed form	0	meV/atom
crystal system	monoclinic
DOS(E_F)	0.462	states/eV/atom

```
data_CrTcCl2
_space_group_name_H-M_alt 'C 1 2/m 1'
_space_group_IT_number 12
_cell_length_a 12.110
_cell_length_b 2.915
_cell_length_c 4.326
_cell_angle_alpha 90.00
_cell_angle_beta 98.83
_cell_angle_gamma 90.00
loop_
_space_group_symop_operation_xyz
'x,y,z'
'-x,-y,-z'
'-x,y,-z'
'x,-y,z'
'x+1/2,y+1/2,z'
'-x+1/2,-y+1/2,-z'
'-x+1/2,y+1/2,-z'
'x+1/2,-y+1/2,z'
loop_
_atom_site_label
_atom_site_fract_x
_atom_site_fract_y
_atom_site_fract_z
_atom_site_occupancy
Cr1 0.000 0.000 0.000 1
Tc1 0.000 0.500 0.500 1
Cl1 0.146 0.500 0.201 1
```

=====

Record 5
Density functional theory data (meta-GGA SCAN) for a PBEsol-optimized structure of KSr2Mg.

Results
calculated formation energy	0.031	eV per atom
crystal system	tetragonal
DOS(E_F)	0.911	states/eV/atom

```
data_KSr2Mg
_space_group_name_H-M_alt 'P 4/m m m'
_space_group_IT_number 123
_space_group_name_Hall '-P 4 2'
_cell_length_a 4.152
_cell_length_b 4.152
_cell_length_c 10.933
_cell_angle_alpha 90.00
_cell_angle_beta 90.00
_cell_angle_gamma 90.00
loop_
_atom_site_label
_atom_site_fract_x
_atom_site_fract_y
_atom_site_fract_z
_atom_site_occupancy
K1 0.000 0.000 0.000 1
Sr1 0.500 0.500 0.314 1
Mg1 0.000 0.000 0.500 1
```

=====

Record 6
Density functional theory data (meta-GGA SCAN) for a PBEsol-optimized structure of Sr2TlF2.

Results
energy relative to the elements, uncorrected	-2.676	eV/atom
crystal system	tetragonal
DOS(E_F)	0.385	states/eV/atom

```
data_Sr2TlF2
_space_group_name_H-M_alt 'I 4/m m m'
_space_group_IT_number 139
_space_group_name_Hall '-I 4 2'
_cell_length_a 3.989
_cell_length_b 3.989
_cell_length_c 14.803
_cell_angle_alpha 90.00
_cell_angle_beta 90.00
_cell_angle_gamma 90.00
loop_
_atom_site_label
_atom_site_fract_x
_atom_site_fract_y
_atom_site_fract_z
_atom_site_occupancy
Sr1 0.000 0.000 0.153 1
Tl1 0.000 0.000 0.500 1
F1 0.000 0.500 0.250 1
```

=====

Record 7
Density functional theory data (meta-GGA SCAN) for a PBEsol-optimized structure of Zr2ScZn.

Results
calculated formation energy	-0.034	eV per atom
crystal system	trigonal
DOS(E_F)	1.093	states/eV/atom

```
data_Zr2ScZn
_space_group_name_H-M_alt 'R 3 m'
_space_group_IT_number 160
_space_group_name_Hall 'R 3 -2"'
_cell_length_a 3.1876
_cell_length_b 3.1876
_cell_length_c 28.3142
_cell_angle_alpha 90.00
_cell_angle_beta 90.00
_cell_angle_gamma 120.00
loop_
_atom_site_label
_atom_site_fract_x
_atom_site_fract_y
_atom_site_fract_z
_atom_site_occupancy
Zr1 0.0000 0.0000 0.0000 1
Zr2 0.0000 0.0000 0.2454 1
Sc1 0.0000 0.0000 0.4887 1
Zn1 0.0000 0.0000 0.7447 1
```

=====

Record 8
Density functional theory data (meta-GGA SCAN) for a PBEsol-optimized structure of Ba3Zr2S7.

Results
energy relative to the elements, uncorrected	-2.160	eV/atom
offset from the most stable computed form	0	meV/atom
crystal system	tetragonal

```
data_Ba3Zr2S7
_space_group_name_H-M_alt 'P 42/m n m'
_space_group_IT_number 136
_space_group_name_Hall '-P 4n 2n'
_cell_length_a 7.055
_cell_length_b 7.055
_cell_length_c 25.160
_cell_angle_alpha 90.00
_cell_angle_beta 90.00
_cell_angle_gamma 90.00
loop_
_atom_site_label
_atom_site_fract_x
_atom_site_fract_y
_atom_site_fract_z
_atom_site_occupancy
Ba1 0.236 0.236 0.181 1
Ba2 0.245 0.755 0.500 1
Zr1 0.249 0.249 0.400 1
S1 0.000 0.000 0.082 1
S2 0.000 0.000 0.389 1
S3 0.000 0.500 0.095 1
S4 0.208 0.208 0.500 1
S5 0.216 0.784 0.198 1
```

=====

Record 9
Density functional theory data (meta-GGA SCAN) for a PBEsol-optimized structure of KBa2Y.

Results
calculated formation energy	0.371	eV per atom
crystal system	cubic
DOS(E_F)	1.251	states/eV/atom

```
data_KBa2Y
_space_group_name_H-M_alt 'F m -3 m'
_space_group_IT_number 225
_space_group_name_Hall '-F 4 2 3'
_cell_length_a 9.243
_cell_length_b 9.243
_cell_length_c 9.243
_cell_angle_alpha 90.00
_cell_angle_beta 90.00
_cell_angle_gamma 90.00
loop_
_atom_site_label
_atom_site_fract_x
_atom_site_fract_y
_atom_site_fract_z
_atom_site_occupancy
K1 0.000 0.000 0.000 1
Ba1 0.250 0.250 0.250 1
Y1 0.000 0.000 0.500 1
```

=====

Record 10
Density functional theory data (meta-GGA SCAN) for a PBEsol-optimized structure of YGa2Fe2.

Results
calculated formation energy	-0.401	eV per atom
crystal system	tetragonal
DOS(E_F)	0.522	states/eV/atom

```
data_YGa2Fe2
_space_group_name_H-M_alt 'I 4/m m m'
_space_group_IT_number 139
_space_group_name_Hall '-I 4 2'
_cell_length_a 3.769
_cell_length_b 3.769
_cell_length_c 11.137
_cell_angle_alpha 90.00
_cell_angle_beta 90.00
_cell_angle_gamma 90.00
loop_
_atom_site_label
_atom_site_fract_x
_atom_site_fract_y
_atom_site_fract_z
_atom_site_occupancy
Y1 0.000 0.000 0.000 1
Ga1 0.000 0.000 0.385 1
Fe1 0.000 0.500 0.250 1
```

=====

Record 11
Density functional theory data (meta-GGA SCAN) for a PBEsol-optimized structure of AlZn2In.

Results
calculated formation energy	0.140	eV per atom
offset from the most stable computed form	0	meV/atom
crystal system	monoclinic
DOS(E_F)	0.337	states/eV/atom

```
data_AlZn2In
_space_group_name_H-M_alt 'P 1 m 1'
_space_group_IT_number 6
_cell_length_a 3.165
_cell_length_b 4.266
_cell_length_c 5.465
_cell_angle_alpha 90.00
_cell_angle_beta 104.59
_cell_angle_gamma 90.00
loop_
_space_group_symop_operation_xyz
'x,y,z'
'x,-y,z'
loop_
_atom_site_label
_atom_site_fract_x
_atom_site_fract_y
_atom_site_fract_z
_atom_site_occupancy
Al1 0.000 0.000 0.000 1
Zn1 0.279 0.000 0.551 1
Zn2 0.425 0.500 0.841 1
In1 0.691 0.500 0.357 1
```

=====

Record 12
Density functional theory data (meta-GGA SCAN) for a PBEsol-optimized structure of SrLiSe2Br.

Results
energy relative to the elements, uncorrected	-0.727	eV/atom
crystal system	tetragonal
DOS(E_F)	0.874	states/eV/atom

```
data_SrLiSe2Br
_space_group_name_H-M_alt 'P 4/m m m'
_space_group_IT_number 123
_space_group_name_Hall '-P 4 2'
_cell_length_a 5.794
_cell_length_b 5.794
_cell_length_c 5.838
_cell_angle_alpha 90.00
_cell_angle_beta 90.00
_cell_angle_gamma 90.00
loop_
_atom_site_label
_atom_site_fract_x
_atom_site_fract_y
_atom_site_fract_z
_atom_site_occupancy
Sr1 0.000 0.000 0.000 1
Li1 0.500 0.500 0.500 1
Se1 0.000 0.500 0.000 1
Br1 0.000 0.000 0.500 1
```

=====

Summary of E in eV per atom
-28.116; -11.767; -29.815; -17.422; -14.432; -27.473; -22.321; -22.781; -28.447; -19.760; -16.903; -17.583
(order as listed above)